(1)
This record from Alexandria describes Li2CdN2 after structural relaxation. The functional is PBEsol.

Cell: 2.994 6.350 6.350 Å, 90.00 90.00 90.00°
Element x y z (fractional)
N1 0.000 0.428 0.928
N2 0.000 0.928 0.572
N3 0.000 0.572 0.072
N4 0.000 0.072 0.428
Li1 0.500 0.148 0.648
Li2 0.500 0.648 0.852
Li3 0.500 0.852 0.352
Li4 0.500 0.352 0.148
Cd1 0.000 0.000 0.000
Cd2 0.000 0.500 0.500

## Properties
electronic total energy: -4.482 eV/atom
mass density: 4.25 g/cm³
calculated volume: 121 Å³/cell
space-group type: No. 127

***

(2)
This record from Alexandria describes Li2CdSbN after structural relaxation. The functional is PBEsol.

Cell: 5.174 5.174 5.442 Å, 90.00 90.00 90.00°
Element x y z (fractional)
Sb1 0.000 0.000 0.000
N1 0.500 0.500 0.500
Li1 0.000 0.500 0.000
Li2 0.500 0.000 0.000
Cd1 0.000 0.000 0.500

## Properties
electronic total energy: -2.756 eV/atom
mass density: 2.99 g/cm³
calculated volume: 146 Å³/cell
space-group type: No. 123

***

(3)
This record from Alexandria describes LiCdTeN2 after structural relaxation. The functional is PBEsol.

Cell: 4.100 4.100 5.127 Å, 90.00 90.00 90.00°
Element x y z (fractional)
N1 0.000 0.500 0.000
N2 0.500 0.000 0.000
Te1 0.000 0.000 0.500
Li1 0.000 0.000 0.000
Cd1 0.500 0.500 0.500

## Properties
electronic total energy: -3.284 eV/atom
mass density: 5.30 g/cm³
calculated volume: 86 Å³/cell
space-group type: No. 123

***

(4)
This record from Alexandria describes NaLi3Cd after structural relaxation. The functional is PBEsol.

Cell: 5.173 5.173 5.173 Å, 90.00 90.00 90.00°
Element x y z (fractional)
Na1 0.500 0.500 0.500
Li1 0.000 0.500 0.000
Li2 0.000 0.000 0.500
Li3 0.500 0.000 0.000
Cd1 0.000 0.000 0.000

## Properties
E_form: 0.100 eV per atom
electronic total energy: -1.599 eV/atom
mass density: 1.87 g/cm³
calculated volume: 138 Å³/cell
space-group type: No. 221

***

(5)
This record from Alexandria describes Na2LiCd2 after structural relaxation. The functional is PBEsol.

Cell: 4.958 7.234 7.234 Å, 90.00 90.00 90.00°
Element x y z (fractional)
Na1 0.500 0.170 0.670
Na2 0.500 0.670 0.830
Na3 0.500 0.830 0.330
Na4 0.500 0.330 0.170
Li1 0.000 0.000 0.000
Li2 0.000 0.500 0.500
Cd1 0.000 0.362 0.862
Cd2 0.000 0.862 0.638
Cd3 0.000 0.638 0.138
Cd4 0.000 0.138 0.362

## Properties
E_form: -0.013 eV per atom
electronic total energy: -1.445 eV/atom
mass density: 3.55 g/cm³
calculated volume: 260 Å³/cell
space-group type: No. 127

***

(6)
This record from Alexandria describes NaLiCd2 after structural relaxation. The functional is PBEsol.

Cell: 4.929 4.929 4.929 Å, 60.00 60.00 60.00°
Element x y z (fractional)
Na1 0.500 0.500 0.500
Cd1 0.250 0.250 0.250
Cd2 0.750 0.750 0.750
Li1 0.000 0.000 0.000

## Properties
E_form: -0.079 eV per atom
electronic total energy: -1.519 eV/atom
mass density: 5.00 g/cm³
calculated volume: 85 Å³/cell
space-group type: No. 225

***

(7)
This record from Alexandria describes NaLiCdS2 after structural relaxation. The functional is PBEsol.

Cell: 4.097 4.097 6.918 Å, 90.00 90.00 120.00°
Element x y z (fractional)
Na1 0.667 0.333 0.027
S1 0.333 0.667 0.758
S2 0.000 0.000 0.259
Cd1 0.000 0.000 0.619
Li1 0.333 0.667 0.337

## Properties
electronic total energy: -3.674 eV/atom
mass density: 3.41 g/cm³
calculated volume: 101 Å³/cell
space-group type: No. 156

***

(8)
This record from Alexandria describes Li2CdNi after structural relaxation. The functional is PBEsol.

Cell: 3.747 3.747 4.021 Å, 90.00 90.00 90.00°
Element x y z (fractional)
Ni1 0.500 0.500 0.500
Cd1 0.000 0.000 0.500
Li1 0.000 0.500 0.000
Li2 0.500 0.000 0.000

## Properties
E_form: -0.046 eV per atom
electronic total energy: -2.868 eV/atom
mass density: 5.44 g/cm³
calculated volume: 56 Å³/cell
space-group type: No. 123

***

(9)
This record from Alexandria describes LiCdNi after structural relaxation. The functional is PBEsol.

Cell: 2.767 3.775 4.671 Å, 113.84 107.23 90.00°
Element x y z (fractional)
Cd1 0.005 0.005 0.009
Li1 0.328 0.328 0.655
Ni1 0.668 0.668 0.336

## Properties
E_form: -0.026 eV per atom
electronic total energy: -3.133 eV/atom
mass density: 7.00 g/cm³
calculated volume: 42 Å³/cell
space-group type: No. 44

***

(10)
This record from Alexandria describes Li2CdNi after structural relaxation. The functional is PBEsol.

Cell: 2.994 2.994 6.579 Å, 90.00 90.00 90.00°
Element x y z (fractional)
Cd1 0.500 0.500 0.726
Li1 0.000 0.000 0.010
Li2 0.500 0.500 0.283
Ni1 0.000 0.000 0.481

## Properties
E_form: -0.007 eV per atom
electronic total energy: -2.829 eV/atom
mass density: 5.21 g/cm³
calculated volume: 59 Å³/cell
space-group type: No. 99

***

(11)
This record from Alexandria describes Li2CdNi after structural relaxation. The functional is PBEsol.

Cell: 4.326 4.307 4.326 Å, 120.15 90.00 120.15°
Element x y z (fractional)
Ni1 0.000 0.000 0.000
Cd1 0.250 0.500 0.750
Li1 0.500 0.000 0.500
Li2 0.750 0.500 0.250

## Properties
E_form: -0.072 eV per atom
electronic total energy: -2.894 eV/atom
mass density: 5.41 g/cm³
calculated volume: 57 Å³/cell
space-group type: No. 119

***

(12)
This record from Alexandria describes Li3CdNi after structural relaxation. The functional is PBEsol.

Cell: 4.466 4.466 4.466 Å, 90.00 90.00 90.00°
Element x y z (fractional)
Ni1 0.000 0.000 0.000
Li1 0.000 0.500 0.000
Li2 0.000 0.000 0.500
Li3 0.500 0.000 0.000
Cd1 0.500 0.500 0.500

## Properties
E_form: 0.298 eV per atom
electronic total energy: -2.353 eV/atom
mass density: 3.58 g/cm³
calculated volume: 89 Å³/cell
space-group type: No. 221